Material: Nd3Dy7Tm2
Method: DFT, GGA-PBE
State: relaxed

Density in g cm⁻³: 7.7
Space-group type: R-3m, No. 166
Energy of formation in eV/atom: 0.29
Distance to the lowest polymorph of the same formula in kJ per mole of atoms: 19.3

a b c (Å): 11.9251 11.9251 11.9251
angles (deg): 31.58 31.58 31.58
Atoms (fractional coordinates):
Nd1 0.0000 0.0000 0.0000
Nd2 0.1560 0.1560 0.1560
Nd3 0.8440 0.8440 0.8440
Dy1 0.0824 0.5838 0.5838
Dy2 0.4162 0.4162 0.9176
Dy3 0.4162 0.9176 0.4162
Dy4 0.5000 0.5000 0.5000
Dy5 0.5838 0.0824 0.5838
Dy6 0.5838 0.5838 0.0824
Dy7 0.9176 0.4162 0.4162
Tm1 0.3332 0.3332 0.3332
Tm2 0.6668 0.6668 0.6668